No. 1
{
  "formula": "ZnAs2Br",
  "functional": "GGA-PBE",
  "state": "relaxed",
  "cell": [[1.525, 0.880, 11.826], [-1.525, 0.880, 11.826], [0.000, -1.760, 11.826]],
  "species": ["Zn", "As", "As", "Br"],
  "frac_coords": [[0.000, 0.000, 0.000], [0.276, 0.276, 0.276], [0.724, 0.724, 0.724], [0.500, 0.500, 0.500]],
  "relative_energy_kj_per_mol_atoms": 47.6,
  "e_form_raw_ev_per_atom": 0.32,
  "energy_ev_per_atom": -2.740,
  "spacegroup": "R-3m (166)"
}

No. 2
{
  "formula": "Ba2ScSe",
  "functional": "GGA-PBE",
  "state": "relaxed",
  "cell": [[0.000, 4.079, 4.079], [4.079, 0.000, 4.079], [4.079, 4.079, 0.000]],
  "species": ["Ba", "Ba", "Sc", "Se"],
  "frac_coords": [[0.000, 0.000, 0.000], [0.250, 0.250, 0.250], [0.750, 0.750, 0.750], [0.500, 0.500, 0.500]],
  "e_form_raw_ev_per_atom": -0.03,
  "energy_ev_per_atom": -3.445,
  "spacegroup": "F-43m (216)"
}

No. 3
{
  "formula": "Pm6YTm5",
  "functional": "GGA-PBE",
  "state": "relaxed",
  "cell": [[2.543, -7.627, 0.000], [2.543, 7.627, 0.000], [0.000, 0.000, 10.006]],
  "species": ["Pm", "Pm", "Pm", "Pm", "Pm", "Pm", "Y", "Tm", "Tm", "Tm", "Tm", "Tm"],
  "frac_coords": [[0.000, 0.000, 0.248], [0.000, 0.000, 0.752], [0.333, 0.667, 0.249], [0.333, 0.667, 0.751], [0.667, 0.333, 0.249], [0.667, 0.333, 0.751], [0.500, 0.500, 0.500], [0.167, 0.833, 0.000], [0.167, 0.833, 0.500], [0.500, 0.500, 0.000], [0.833, 0.167, 0.000], [0.833, 0.167, 0.500]],
  "formation_enthalpy_0k_ev_per_fu": 0.27,
  "energy_ev_per_atom": -4.754,
  "spacegroup": "Cmmm (65)"
}

No. 4
{
  "formula": "PrSiIr",
  "functional": "GGA-PBE",
  "state": "relaxed",
  "cell": [[6.385, 0.000, 0.000], [0.000, 6.385, 0.000], [0.000, 0.000, 6.385]],
  "species": ["Pr", "Pr", "Pr", "Pr", "Si", "Si", "Si", "Si", "Ir", "Ir", "Ir", "Ir"],
  "frac_coords": [[0.123, 0.123, 0.123], [0.377, 0.877, 0.623], [0.623, 0.377, 0.877], [0.877, 0.623, 0.377], [0.164, 0.336, 0.664], [0.336, 0.664, 0.164], [0.664, 0.164, 0.336], [0.836, 0.836, 0.836], [0.071, 0.571, 0.929], [0.429, 0.429, 0.429], [0.571, 0.929, 0.071], [0.929, 0.071, 0.571]],
  "e_form_raw_ev_per_atom": -0.94,
  "energy_ev_per_atom": -7.290,
  "spacegroup": "P2_13 (198)"
}